Entry 1:
The following is a DFT calculation (PBE-GGA) of a relaxed TbErBiO2 crystal.

Calculated values
Crystal system: tetragonal

Cell lengths 3.879, 3.879, 7.312 Å; angles 105.38, 105.38, 90.00 degrees
Element x y z (fractional)
Bi 0.501 0.501 0.003
Er 0.169 0.169 0.339
Tb 0.832 0.832 0.665
O 0.748 0.248 0.497
O 0.248 0.748 0.497

Entry 2:
The following is a DFT calculation (PBE-GGA) of a relaxed ErBi2TeO4 crystal.

Calculated values
Crystal system: tetragonal

Cell lengths 3.869, 3.869, 10.147 Å; angles 90.00, 90.00, 90.00 degrees
Element x y z (fractional)
O 0.500 0.000 0.135
O 0.000 0.500 0.135
O 0.500 0.000 0.865
O 0.000 0.500 0.865
Bi 0.500 0.500 0.247
Bi 0.500 0.500 0.753
Er 0.000 0.000 0.000
Te 0.000 0.000 0.500

no.,theoretical density (g/cm³),electronic total energy (eV/atom),ΔE_f (raw) (eV per atom)
1,9.2,-7.29,-2.691
2,8.5,-6.21,-1.795